No. 1
A geometry-optimized ZnWSe structure. Source: Alexandria via LeMat-Bulk, functional GGA-PBE.

Properties
energy relative to the elements, uncorrected = 46.1 kJ/mol of atoms
Fermi-level density of states = 0.74 states/eV/atom
total moment = 0.0 μB/f.u.
crystal system = orthorhombic
ΔE to the lowest computed polymorph = 38.97 kJ per mole of atoms

Structure (CIF):
```
data_ZnWSe
_cell_length_a 3.157
_cell_length_b 4.909
_cell_length_c 14.151
_cell_angle_alpha 90.00
_cell_angle_beta 90.00
_cell_angle_gamma 90.00
_space_group_name_H-M_alt 'F m m 2'
_space_group_IT_number 42
_space_group_name_Hall 'F 2 -2'
loop_
_atom_site_label
_atom_site_fract_x
_atom_site_fract_y
_atom_site_fract_z
Zn1 0.000 0.000 0.000
W1 0.000 0.000 0.348
Se1 0.000 0.000 0.706
```

=====

No. 2
A geometry-optimized ZnWSe3 structure. Source: Alexandria via LeMat-Bulk, functional GGA-PBE.

Properties
energy relative to the elements, uncorrected = 111.6 kJ/mol of atoms
Fermi-level density of states = 0.54 states/eV/atom
total moment = 2.5 μB/f.u.
crystal system = cubic
ΔE to the lowest computed polymorph = 83.45 kJ per mole of atoms

Structure (CIF):
```
data_ZnWSe3
_cell_length_a 4.808
_cell_length_b 4.808
_cell_length_c 4.808
_cell_angle_alpha 90.00
_cell_angle_beta 90.00
_cell_angle_gamma 90.00
_space_group_name_H-M_alt 'P m -3 m'
_space_group_IT_number 221
_space_group_name_Hall '-P 4 2 3'
loop_
_atom_site_label
_atom_site_fract_x
_atom_site_fract_y
_atom_site_fract_z
Zn1 0.000 0.000 0.000
W1 0.500 0.500 0.500
Se1 0.000 0.000 0.500
```

=====

No. 3
A geometry-optimized ZnWSe2 structure. Source: Alexandria via LeMat-Bulk, functional GGA-PBE.

Properties
energy relative to the elements, uncorrected = -5.7 kJ/mol of atoms
Fermi-level density of states = 0.43 states/eV/atom
total moment = 0.0 μB/f.u.
crystal system = trigonal

Structure (CIF):
```
data_ZnWSe2
_cell_length_a 3.2440
_cell_length_b 3.2440
_cell_length_c 29.4907
_cell_angle_alpha 90.00
_cell_angle_beta 90.00
_cell_angle_gamma 120.00
_space_group_name_H-M_alt 'R -3 m'
_space_group_IT_number 166
_space_group_name_Hall '-R 3 2"'
loop_
_atom_site_label
_atom_site_fract_x
_atom_site_fract_y
_atom_site_fract_z
Zn1 0.0000 0.0000 0.0000
W1 0.0000 0.0000 0.5000
Se1 0.0000 0.0000 0.1072
```

=====

No. 4
A geometry-optimized ZnWSe2 structure. Source: Alexandria via LeMat-Bulk, functional GGA-PBE.

Properties
energy relative to the elements, uncorrected = 21.2 kJ/mol of atoms
Fermi-level density of states = 0.48 states/eV/atom
total moment = 0.0 μB/f.u.
crystal system = orthorhombic

Structure (CIF):
```
data_ZnWSe2
_cell_length_a 3.096
_cell_length_b 4.113
_cell_length_c 12.207
_cell_angle_alpha 90.00
_cell_angle_beta 90.00
_cell_angle_gamma 90.00
_space_group_name_H-M_alt 'I m m 2'
_space_group_IT_number 44
loop_
_space_group_symop_operation_xyz
'x,y,z'
'-x,-y,z'
'-x,y,z'
'x,-y,z'
'x+1/2,y+1/2,z+1/2'
'-x+1/2,-y+1/2,z+1/2'
'-x+1/2,y+1/2,z+1/2'
'x+1/2,-y+1/2,z+1/2'
loop_
_atom_site_label
_atom_site_fract_x
_atom_site_fract_y
_atom_site_fract_z
Zn1 0.000 0.000 0.000
W1 0.000 0.500 0.284
Se1 0.000 0.000 0.622
Se2 0.000 0.500 0.848
```

=====

No. 5
A geometry-optimized ZnWSe4 structure. Source: Alexandria via LeMat-Bulk, functional GGA-PBE.

Properties
energy relative to the elements, uncorrected = 117.2 kJ/mol of atoms
Fermi-level density of states = 0.66 states/eV/atom
total moment = 3.4 μB/f.u.
crystal system = cubic

Structure (CIF):
```
data_ZnWSe4
_cell_length_a 7.952
_cell_length_b 7.952
_cell_length_c 7.952
_cell_angle_alpha 90.00
_cell_angle_beta 90.00
_cell_angle_gamma 90.00
_space_group_name_H-M_alt 'F -4 3 m'
_space_group_IT_number 216
_space_group_name_Hall 'F -4 2 3'
loop_
_atom_site_label
_atom_site_fract_x
_atom_site_fract_y
_atom_site_fract_z
Zn1 0.000 0.000 0.000
W1 0.250 0.250 0.250
Se1 0.125 0.125 0.625
```

=====

No. 6
A geometry-optimized ZnWSe2 structure. Source: Alexandria via LeMat-Bulk, functional GGA-PBE.

Properties
energy relative to the elements, uncorrected = -7.1 kJ/mol of atoms
Fermi-level density of states = 0.16 states/eV/atom
total moment = 0.0 μB/f.u.
crystal system = trigonal

Structure (CIF):
```
data_ZnWSe2
_cell_length_a 3.2532
_cell_length_b 3.2532
_cell_length_c 28.3886
_cell_angle_alpha 90.00
_cell_angle_beta 90.00
_cell_angle_gamma 120.00
_space_group_name_H-M_alt 'R -3 m'
_space_group_IT_number 166
_space_group_name_Hall '-R 3 2"'
loop_
_atom_site_label
_atom_site_fract_x
_atom_site_fract_y
_atom_site_fract_z
Zn1 0.0000 0.0000 0.0000
W1 0.0000 0.0000 0.5000
Se1 0.0000 0.0000 0.2283
```